P | The following is a PBE-GGA calculation of crystalline La4PrDy3 at its relaxed geometry, from the Alexandria database.

Values from the calculation:
The calculated volume is 555.67 Å³ per cell. Its density is 7.08 g cm⁻³.

a b c (Å): 3.536 11.843 13.271
angles (deg): 90.00 90.00 90.00
Fractional coordinates of all 16 atoms:
1 La 0.000 0.249 0.133
2 La 0.000 0.249 0.867
3 La 0.000 0.751 0.133
4 La 0.000 0.751 0.867
5 La 0.500 0.251 0.367
6 La 0.500 0.251 0.633
7 La 0.500 0.749 0.367
8 La 0.500 0.749 0.633
9 Pr 0.000 0.500 0.000
10 Pr 0.500 0.000 0.500
11 Dy 0.000 0.000 0.262
12 Dy 0.000 0.000 0.738
13 Dy 0.000 0.500 0.500
14 Dy 0.500 0.000 0.000
15 Dy 0.500 0.500 0.238
16 Dy 0.500 0.500 0.762



Q | The following is a PBE-GGA calculation of crystalline La4PrDy3 at its relaxed geometry, from the Alexandria database.

Values from the calculation:
The calculated volume is 560.51 Å³ per cell. Its density is 7.02 g cm⁻³.

a b c (Å): 11.798 7.397 6.423
angles (deg): 90.00 90.00 90.00
Fractional coordinates of all 16 atoms:
1 La 0.000 0.128 0.000
2 La 0.000 0.870 0.518
3 La 0.243 0.124 0.336
4 La 0.257 0.876 0.836
5 La 0.500 0.130 0.018
6 La 0.500 0.872 0.500
7 La 0.743 0.876 0.836
8 La 0.757 0.124 0.336
9 Pr 0.000 0.626 0.007
10 Pr 0.500 0.374 0.507
11 Dy 0.000 0.380 0.506
12 Dy 0.250 0.380 0.838
13 Dy 0.250 0.620 0.338
14 Dy 0.500 0.620 0.006
15 Dy 0.750 0.380 0.838
16 Dy 0.750 0.620 0.338



Most stable pick: Q. Distance to second place: 81 meV per atom.



P | The following is a PBE-GGA calculation of crystalline LaPr2Dy8 at its relaxed geometry, from the Alexandria database.

Values from the calculation:
The calculated volume is 369.59 Å³ per cell. Its density is 7.73 g cm⁻³.

a b c (Å): 9.276 9.276 5.956
angles (deg): 105.24 105.24 121.31
Fractional coordinates of all 11 atoms:
1 La 0.000 0.000 0.000
2 Pr 0.305 0.695 0.500
3 Pr 0.695 0.305 0.500
4 Dy 0.099 0.331 0.673
5 Dy 0.210 0.790 0.000
6 Dy 0.331 0.099 0.673
7 Dy 0.428 0.428 0.206
8 Dy 0.572 0.572 0.794
9 Dy 0.669 0.901 0.327
10 Dy 0.790 0.210 0.000
11 Dy 0.901 0.669 0.327



Q | The following is a PBE-GGA calculation of crystalline LaPr2Dy8 at its relaxed geometry, from the Alexandria database.

Values from the calculation:
The calculated volume is 370.22 Å³ per cell. Its density is 7.72 g cm⁻³.

a b c (Å): 8.953 8.953 6.754
angles (deg): 98.72 98.72 43.88
Fractional coordinates of all 11 atoms:
1 La 0.000 0.000 0.000
2 Pr 0.243 0.243 0.298
3 Pr 0.757 0.757 0.702
4 Dy 0.175 0.647 0.592
5 Dy 0.205 0.205 0.793
6 Dy 0.353 0.825 0.408
7 Dy 0.412 0.412 0.093
8 Dy 0.588 0.588 0.907
9 Dy 0.647 0.175 0.592
10 Dy 0.795 0.795 0.207
11 Dy 0.825 0.353 0.408



Most stable pick: P. Distance to second place: 17 meV per atom.



P | The following is a PBE-GGA calculation of crystalline La2Pr7Dy2 at its relaxed geometry, from the Alexandria database.

Values from the calculation:
The calculated volume is 408.02 Å³ per cell. Its density is 6.47 g cm⁻³.

a b c (Å): 7.091 7.091 9.635
angles (deg): 90.00 90.00 122.64
Fractional coordinates of all 11 atoms:
1 La 0.249 0.249 0.000
2 La 0.751 0.751 0.000
3 Pr 0.000 0.000 0.500
4 Pr 0.000 0.500 0.184
5 Pr 0.000 0.500 0.816
6 Pr 0.500 0.000 0.184
7 Pr 0.500 0.000 0.816
8 Pr 0.500 0.500 0.323
9 Pr 0.500 0.500 0.677
10 Dy 0.268 0.732 0.500
11 Dy 0.732 0.268 0.500



Q | The following is a PBE-GGA calculation of crystalline La2Pr7Dy2 at its relaxed geometry, from the Alexandria database.

Values from the calculation:
The calculated volume is 395.90 Å³ per cell. Its density is 6.67 g cm⁻³.

a b c (Å): 8.286 8.286 6.231
angles (deg): 105.52 105.52 90.16
Fractional coordinates of all 11 atoms:
1 La 0.076 0.076 0.304
2 La 0.924 0.924 0.696
3 Pr 0.087 0.551 0.321
4 Pr 0.274 0.274 0.908
5 Pr 0.449 0.913 0.679
6 Pr 0.500 0.500 0.500
7 Pr 0.551 0.087 0.321
8 Pr 0.726 0.726 0.092
9 Pr 0.913 0.449 0.679
10 Dy 0.283 0.717 0.000
11 Dy 0.717 0.283 0.000



Most stable pick: Q. Distance to second place: 182 meV per atom.



P | The following is a PBE-GGA calculation of crystalline La3Pr4Dy5 at its relaxed geometry, from the Alexandria database.

Values from the calculation:
The calculated volume is 422.19 Å³ per cell. Its density is 7.05 g cm⁻³.

a b c (Å): 8.711 8.711 9.503
angles (deg): 114.61 114.61 40.81
Fractional coordinates of all 12 atoms:
1 La 0.000 0.000 0.000
2 La 0.291 0.291 0.770
3 La 0.709 0.709 0.230
4 Pr 0.293 0.293 0.121
5 Pr 0.416 0.416 0.556
6 Pr 0.584 0.584 0.444
7 Pr 0.707 0.707 0.879
8 Dy 0.071 0.071 0.697
9 Dy 0.172 0.172 0.388
10 Dy 0.500 0.500 0.000
11 Dy 0.828 0.828 0.612
12 Dy 0.929 0.929 0.303



Q | The following is a PBE-GGA calculation of crystalline La3Pr4Dy5 at its relaxed geometry, from the Alexandria database.

Values from the calculation:
The calculated volume is 413.29 Å³ per cell. Its density is 7.20 g cm⁻³.

a b c (Å): 6.324 7.295 8.959
angles (deg): 89.90 89.93 89.97
Fractional coordinates of all 12 atoms:
1 La 0.000 0.000 0.000
2 La 0.169 0.249 0.331
3 La 0.831 0.751 0.669
4 Pr 0.170 0.752 0.332
5 Pr 0.330 0.500 0.670
6 Pr 0.670 0.500 0.330
7 Pr 0.830 0.248 0.668
8 Dy 0.000 0.500 0.000
9 Dy 0.335 0.000 0.670
10 Dy 0.499 0.750 0.000
11 Dy 0.501 0.250 0.000
12 Dy 0.665 0.000 0.330



Most stable pick: Q. Distance to second place: 197 meV per atom.



P | The following is a PBE-GGA calculation of crystalline LaPrDyTl at its relaxed geometry, from the Alexandria database.

Values from the calculation:
The calculated volume is 491.98 Å³ per cell. Its density is 8.73 g cm⁻³.

a b c (Å): 7.894 7.894 7.894
angles (deg): 90.00 90.00 90.00
Fractional coordinates of all 16 atoms:
1 La 0.000 0.000 0.000
2 La 0.000 0.500 0.500
3 La 0.500 0.000 0.500
4 La 0.500 0.500 0.000
5 Pr 0.250 0.250 0.750
6 Pr 0.250 0.750 0.250
7 Pr 0.750 0.250 0.250
8 Pr 0.750 0.750 0.750
9 Dy 0.250 0.250 0.250
10 Dy 0.250 0.750 0.750
11 Dy 0.750 0.250 0.750
12 Dy 0.750 0.750 0.250
13 Tl 0.000 0.000 0.500
14 Tl 0.000 0.500 0.000
15 Tl 0.500 0.000 0.000
16 Tl 0.500 0.500 0.500



Q | The following is a PBE-GGA calculation of crystalline LaPrDyTl at its relaxed geometry, from the Alexandria database.

Values from the calculation:
The calculated volume is 509.51 Å³ per cell. Its density is 8.43 g cm⁻³.

a b c (Å): 7.987 7.987 7.987
angles (deg): 90.00 90.00 90.00
Fractional coordinates of all 16 atoms:
1 La 0.000 0.000 0.000
2 La 0.000 0.500 0.500
3 La 0.500 0.000 0.500
4 La 0.500 0.500 0.000
5 Pr 0.000 0.000 0.500
6 Pr 0.000 0.500 0.000
7 Pr 0.500 0.000 0.000
8 Pr 0.500 0.500 0.500
9 Dy 0.250 0.250 0.750
10 Dy 0.250 0.750 0.250
11 Dy 0.750 0.250 0.250
12 Dy 0.750 0.750 0.750
13 Tl 0.250 0.250 0.250
14 Tl 0.250 0.750 0.750
15 Tl 0.750 0.250 0.750
16 Tl 0.750 0.750 0.250



Most stable pick: Q. Distance to second place: 53 meV per atom.



P | The following is a PBE-GGA calculation of crystalline LaPrDyZn at its relaxed geometry, from the Alexandria database.

Values from the calculation:
The calculated volume is 119.91 Å³ per cell. Its density is 7.03 g cm⁻³.

a b c (Å): 3.668 3.668 8.913
angles (deg): 90.00 90.00 90.00
Fractional coordinates of all 4 atoms:
1 La 0.000 0.000 0.000
2 Pr 0.500 0.500 0.306
3 Dy 0.000 0.000 0.591
4 Zn 0.500 0.500 0.774



Q | The following is a PBE-GGA calculation of crystalline LaPrDyZn at its relaxed geometry, from the Alexandria database.

Values from the calculation:
The calculated volume is 473.29 Å³ per cell. Its density is 7.13 g cm⁻³.

a b c (Å): 7.793 7.793 7.793
angles (deg): 90.00 90.00 90.00
Fractional coordinates of all 16 atoms:
1 La 0.000 0.000 0.000
2 La 0.000 0.500 0.500
3 La 0.500 0.000 0.500
4 La 0.500 0.500 0.000
5 Pr 0.000 0.000 0.500
6 Pr 0.000 0.500 0.000
7 Pr 0.500 0.000 0.000
8 Pr 0.500 0.500 0.500
9 Dy 0.250 0.250 0.750
10 Dy 0.250 0.750 0.250
11 Dy 0.750 0.250 0.250
12 Dy 0.750 0.750 0.750
13 Zn 0.250 0.250 0.250
14 Zn 0.250 0.750 0.750
15 Zn 0.750 0.250 0.750
16 Zn 0.750 0.750 0.250



Most stable pick: P. Distance to second place: 173 meV per atom.



P | The following is a PBE-GGA calculation of crystalline La2DyPt at its relaxed geometry, from the Alexandria database.

Values from the calculation:
The calculated volume is 492.57 Å³ per cell. Its density is 8.57 g cm⁻³.

a b c (Å): 7.245 10.281 6.613
angles (deg): 90.00 90.00 90.00
Fractional coordinates of all 16 atoms:
1 La 0.179 0.063 0.175
2 La 0.179 0.437 0.175
3 La 0.321 0.563 0.675
4 La 0.321 0.937 0.675
5 La 0.679 0.063 0.325
6 La 0.679 0.437 0.325
7 La 0.821 0.563 0.825
8 La 0.821 0.937 0.825
9 Dy 0.034 0.250 0.656
10 Dy 0.466 0.750 0.156
11 Dy 0.534 0.250 0.844
12 Dy 0.966 0.750 0.344
13 Pt 0.121 0.750 0.946
14 Pt 0.379 0.250 0.446
15 Pt 0.621 0.750 0.554
16 Pt 0.879 0.250 0.054



Q | The following is a PBE-GGA calculation of crystalline La2DyPt at its relaxed geometry, from the Alexandria database.

Values from the calculation:
The calculated volume is 412.74 Å³ per cell. Its density is 7.67 g cm⁻³.

a b c (Å): 3.859 3.859 31.996
angles (deg): 90.00 90.00 120.00
Fractional coordinates of all 12 atoms:
1 La 0.000 0.000 0.108
2 La 0.000 0.000 0.892
3 La 0.333 0.667 0.558
4 La 0.333 0.667 0.775
5 La 0.667 0.333 0.225
6 La 0.667 0.333 0.442
7 Dy 0.000 0.000 0.000
8 Dy 0.333 0.667 0.667
9 Dy 0.667 0.333 0.333
10 Pt 0.000 0.000 0.500
11 Pt 0.333 0.667 0.167
12 Pt 0.667 0.333 0.833



R | The following is a PBE-GGA calculation of crystalline La2DyPt at its relaxed geometry, from the Alexandria database.

Values from the calculation:
The calculated volume is 396.57 Å³ per cell. Its density is 7.98 g cm⁻³.

a b c (Å): 4.032 4.032 28.158
angles (deg): 90.00 90.00 120.00
Fractional coordinates of all 12 atoms:
1 La 0.000 0.000 0.000
2 La 0.000 0.000 0.207
3 La 0.333 0.667 0.667
4 La 0.333 0.667 0.873
5 La 0.667 0.333 0.333
6 La 0.667 0.333 0.540
7 Dy 0.000 0.000 0.770
8 Dy 0.333 0.667 0.437
9 Dy 0.667 0.333 0.103
10 Pt 0.000 0.000 0.604
11 Pt 0.333 0.667 0.270
12 Pt 0.667 0.333 0.937



Most stable pick: P. Distance to second place: 180 meV per atom.



P | The following is a PBE-GGA calculation of crystalline LaDyPtRh at its relaxed geometry, from the Alexandria database.

Values from the calculation:
The calculated volume is 184.95 Å³ per cell. Its density is 10.76 g cm⁻³.

a b c (Å): 4.501 3.861 10.642
angles (deg): 90.00 90.00 90.00
Fractional coordinates of all 8 atoms:
1 La 0.000 0.000 0.000
2 La 0.000 0.500 0.500
3 Dy 0.500 0.000 0.281
4 Dy 0.500 0.500 0.781
5 Pt 0.500 0.000 0.563
6 Pt 0.500 0.500 0.063
7 Rh 0.000 0.000 0.742
8 Rh 0.000 0.500 0.242



Q | The following is a PBE-GGA calculation of crystalline LaDyPtRh at its relaxed geometry, from the Alexandria database.

Values from the calculation:
The calculated volume is 357.60 Å³ per cell. Its density is 11.13 g cm⁻³.

a b c (Å): 7.098 7.098 7.098
angles (deg): 90.00 90.00 90.00
Fractional coordinates of all 16 atoms:
1 La 0.000 0.000 0.000
2 La 0.000 0.500 0.500
3 La 0.500 0.000 0.500
4 La 0.500 0.500 0.000
5 Dy 0.000 0.000 0.500
6 Dy 0.000 0.500 0.000
7 Dy 0.500 0.000 0.000
8 Dy 0.500 0.500 0.500
9 Pt 0.250 0.250 0.250
10 Pt 0.250 0.750 0.750
11 Pt 0.750 0.250 0.750
12 Pt 0.750 0.750 0.250
13 Rh 0.250 0.250 0.750
14 Rh 0.250 0.750 0.250
15 Rh 0.750 0.250 0.250
16 Rh 0.750 0.750 0.750



Most stable pick: P. Distance to second place: 85 meV per atom.



P | The following is a PBE-GGA calculation of crystalline LaDyPu2 at its relaxed geometry, from the Alexandria database.

Values from the calculation:
The calculated volume is 480.00 Å³ per cell. Its density is 10.92 g cm⁻³.

a b c (Å): 7.830 7.830 7.830
angles (deg): 90.00 90.00 90.00
Fractional coordinates of all 16 atoms:
1 La 0.000 0.000 0.000
2 La 0.000 0.500 0.500
3 La 0.500 0.000 0.500
4 La 0.500 0.500 0.000
5 Dy 0.000 0.000 0.500
6 Dy 0.000 0.500 0.000
7 Dy 0.500 0.000 0.000
8 Dy 0.500 0.500 0.500
9 Pu 0.250 0.250 0.250
10 Pu 0.250 0.250 0.750
11 Pu 0.250 0.750 0.250
12 Pu 0.250 0.750 0.750
13 Pu 0.750 0.250 0.250
14 Pu 0.750 0.250 0.750
15 Pu 0.750 0.750 0.250
16 Pu 0.750 0.750 0.750



Q | The following is a PBE-GGA calculation of crystalline LaDyPu2 at its relaxed geometry, from the Alexandria database.

Values from the calculation:
The calculated volume is 119.99 Å³ per cell. Its density is 10.92 g cm⁻³.

a b c (Å): 3.460 3.460 10.022
angles (deg): 90.00 90.00 90.00
Fractional coordinates of all 4 atoms:
1 La 0.000 0.000 0.000
2 Dy 0.000 0.000 0.500
3 Pu 0.500 0.500 0.254
4 Pu 0.500 0.500 0.746



R | The following is a PBE-GGA calculation of crystalline LaDyPu2 at its relaxed geometry, from the Alexandria database.

Values from the calculation:
The calculated volume is 120.19 Å³ per cell. Its density is 10.91 g cm⁻³.

a b c (Å): 4.913 4.913 4.979
angles (deg): 90.00 90.00 90.00
Fractional coordinates of all 4 atoms:
1 La 0.000 0.000 0.000
2 Dy 0.500 0.500 0.000
3 Pu 0.000 0.500 0.500
4 Pu 0.500 0.000 0.500



Most stable pick: Q. Distance to second place: 8 meV per atom.



P | The following is a PBE-GGA calculation of crystalline LaDyRh at its relaxed geometry, from the Alexandria database.

Values from the calculation:
The calculated volume is 162.40 Å³ per cell. Its density is 8.27 g cm⁻³.

a b c (Å): 4.813 4.891 6.949
angles (deg): 90.00 96.92 90.00
Fractional coordinates of all 6 atoms:
1 La 0.241 0.250 0.393
2 La 0.759 0.750 0.607
3 Dy 0.262 0.750 0.005
4 Dy 0.738 0.250 0.995
5 Rh 0.179 0.250 0.773
6 Rh 0.821 0.750 0.227



Q | The following is a PBE-GGA calculation of crystalline LaDyRh at its relaxed geometry, from the Alexandria database.

Values from the calculation:
The calculated volume is 364.98 Å³ per cell. Its density is 7.36 g cm⁻³.

a b c (Å): 6.596 7.050 10.150
angles (deg): 90.00 129.35 90.00
Fractional coordinates of all 12 atoms:
1 La 0.145 0.081 0.385
2 La 0.145 0.419 0.885
3 La 0.855 0.581 0.115
4 La 0.855 0.919 0.615
5 Dy 0.374 0.577 0.615
6 Dy 0.374 0.923 0.115
7 Dy 0.626 0.077 0.885
8 Dy 0.626 0.423 0.385
9 Rh 0.358 0.746 0.357
10 Rh 0.358 0.754 0.857
11 Rh 0.642 0.246 0.143
12 Rh 0.642 0.254 0.643



R | The following is a PBE-GGA calculation of crystalline LaDyRh at its relaxed geometry, from the Alexandria database.

Values from the calculation:
The calculated volume is 93.00 Å³ per cell. Its density is 7.22 g cm⁻³.

a b c (Å): 4.107 4.107 6.367
angles (deg): 90.00 90.00 120.00
Fractional coordinates of all 3 atoms:
1 La 0.000 0.000 0.000
2 Dy 0.333 0.667 0.527
3 Rh 0.667 0.333 0.755



S | The following is a PBE-GGA calculation of crystalline LaDyRh at its relaxed geometry, from the Alexandria database.

Values from the calculation:
The calculated volume is 162.47 Å³ per cell. Its density is 8.26 g cm⁻³.

a b c (Å): 3.531 3.531 13.028
angles (deg): 90.00 90.00 90.00
Fractional coordinates of all 6 atoms:
1 La 0.000 0.000 0.000
2 La 0.500 0.500 0.500
3 Dy 0.000 0.000 0.257
4 Dy 0.500 0.500 0.757
5 Rh 0.000 0.000 0.641
6 Rh 0.500 0.500 0.141



Most stable pick: P. Distance to second place: 33 meV per atom.